1.
# Nb2SiAsAu

A relaxed structure of Nb2SiAsAu (GGA-PBE, Alexandria).

Structure (POSCAR):
```
Nb2SiAsAu
1.0
5.093 0.000 0.000
0.000 4.727 0.000
0.000 0.000 5.093
As Au Si Nb
1 1 1 2
direct
0.000 0.500 0.000
0.000 0.000 0.000
0.500 0.500 0.500
0.000 0.000 0.500
0.500 0.000 0.000
```

Properties
VASP energy (eV/atom): -5.103

2.
# Er6Zn5Hg

A relaxed structure of Er6Zn5Hg (GGA-PBE, Alexandria).

Structure (POSCAR):
```
Er6Zn5Hg
1.0
0.263 -1.538 4.783
2.776 -6.223 -2.154
7.093 2.145 2.946
Er Zn Hg
6 5 1
direct
0.500 0.257 0.000
0.831 0.254 0.339
0.169 0.746 0.661
0.500 0.743 0.000
0.169 0.254 0.661
0.831 0.746 0.339
0.333 0.500 0.334
0.331 0.000 0.339
0.667 0.500 0.666
0.669 0.000 0.661
0.000 0.500 0.000
0.000 0.000 0.000
```

Properties
VASP energy (eV/atom): -3.204

3.
# Tb2NiHg

A relaxed structure of Tb2NiHg (GGA-PBE, Alexandria).

Structure (POSCAR):
```
Tb2NiHg
1.0
3.925 0.000 0.000
1.963 3.399 0.000
1.963 1.133 7.666
Tb Hg Ni
2 1 1
direct
0.267 0.267 0.198
0.733 0.733 0.802
0.500 0.500 0.500
0.000 0.000 0.000
```

Properties
Excess energy over the best structure of this formula in the dataset (eV/f.u.): 0.38
VASP energy (eV/atom): -4.173

4.
# Sc2AgPt

A relaxed structure of Sc2AgPt (GGA-PBE, Alexandria).

Structure (POSCAR):
```
Sc2AgPt
1.0
5.362 -0.002 -0.606
4.294 3.210 -0.606
0.509 0.169 4.498
Sc Pt Ag
2 1 1
direct
0.984 0.984 0.875
0.265 0.265 0.375
0.713 0.713 0.875
0.538 0.538 0.375
```

Properties
VASP energy (eV/atom): -6.109

5.
# TmVSn

A relaxed structure of TmVSn (GGA-PBE, Alexandria).

Structure (POSCAR):
```
TmVSn
1.0
-0.462 2.657 -1.919
-5.407 0.489 -0.875
5.416 6.836 5.305
Sn Tm V
2 2 2
direct
0.272 0.873 0.582
0.728 0.127 0.418
0.775 0.667 0.783
0.225 0.333 0.217
0.883 0.295 0.939
0.117 0.705 0.061
```

Properties
Excess energy over the best structure of this formula in the dataset (eV/f.u.): 0.00
VASP energy (eV/atom): -5.798

6.
# LaHgB2

A relaxed structure of LaHgB2 (GGA-PBE, Alexandria).

Structure (POSCAR):
```
LaHgB2
1.0
-0.209 3.913 2.134
-1.836 -2.023 3.528
5.938 -0.276 5.754
La B Hg
2 4 2
direct
0.500 0.500 0.000
0.250 0.750 0.500
0.874 0.625 0.250
0.875 0.126 0.750
0.876 0.125 0.250
0.375 0.124 0.750
0.000 0.000 0.000
0.750 0.250 0.500
```

Properties
VASP energy (eV/atom): -4.028

7.
# Ho4RuSe2

A relaxed structure of Ho4RuSe2 (GGA-PBE, Alexandria).

Structure (POSCAR):
```
Ho4RuSe2
1.0
-1.809 3.357 -0.349
-4.364 -4.209 3.144
5.085 4.038 12.464
Ho Se Ru
8 4 2
direct
0.202 0.404 0.869
0.952 0.903 0.750
0.202 0.404 0.631
0.500 0.000 0.000
0.048 0.097 0.250
0.500 0.000 0.500
0.798 0.596 0.369
0.798 0.596 0.131
0.858 0.716 0.565
0.142 0.284 0.065
0.142 0.284 0.435
0.858 0.716 0.935
0.602 0.204 0.750
0.398 0.796 0.250
```

Properties
VASP energy (eV/atom): -6.023

8.
# Pm5Ho4Sc3

A relaxed structure of Pm5Ho4Sc3 (GGA-PBE, Alexandria).

Structure (POSCAR):
```
Pm5Ho4Sc3
1.0
5.774 0.000 0.000
2.887 9.135 0.747
2.887 2.723 7.377
Sc Ho Pm
3 4 5
direct
0.582 0.047 0.789
0.000 0.500 0.500
0.418 0.953 0.211
0.070 0.802 0.058
0.930 0.198 0.942
0.292 0.734 0.681
0.708 0.266 0.319
0.833 0.890 0.444
0.167 0.110 0.556
0.500 0.500 0.500
0.716 0.623 0.944
0.284 0.377 0.056
```

Properties
VASP energy (eV/atom): -4.840

9.
# CaThHgSb

A relaxed structure of CaThHgSb (GGA-PBE, Alexandria).

Structure (POSCAR):
```
CaThHgSb
1.0
-4.522 0.776 -2.901
-2.284 -4.163 -2.631
-4.721 -2.045 1.733
Hg Sb Th Ca
1 1 1 1
direct
0.500 0.500 0.500
0.000 0.000 0.000
0.250 0.250 0.250
0.750 0.750 0.750
```

Properties
VASP energy (eV/atom): -3.954

10.
# Co2SbP

A relaxed structure of Co2SbP (GGA-PBE, Alexandria).

Structure (POSCAR):
```
Co2SbP
1.0
-1.460 -2.523 -3.552
0.827 -4.044 2.020
-2.776 3.576 0.790
Co Sb P
2 1 1
direct
0.562 0.562 0.000
0.938 0.938 0.000
0.250 0.750 0.500
0.750 0.250 0.500
```

Properties
Excess energy over the best structure of this formula in the dataset (eV/f.u.): 1.31
VASP energy (eV/atom): -5.829

11.
# KLiGe3

A relaxed structure of KLiGe3 (GGA-PBE, Alexandria).

Structure (POSCAR):
```
KLiGe3
1.0
4.862 0.000 0.000
0.000 4.862 0.000
0.000 0.000 4.862
Ge K Li
3 1 1
direct
0.500 0.000 0.000
0.000 0.500 0.000
0.000 0.000 0.500
0.500 0.500 0.500
0.000 0.000 0.000
```

Properties
Excess energy over the best structure of this formula in the dataset (eV/f.u.): 0.00
VASP energy (eV/atom): -3.096

12.
# MgMoRuRh

A relaxed structure of MgMoRuRh (GGA-PBE, Alexandria).

Structure (POSCAR):
```
MgMoRuRh
1.0
-4.357 0.056 -0.540
-1.743 -1.032 -3.896
-2.200 -3.768 -0.492
Mg Rh Ru Mo
1 1 1 1
direct
0.000 0.000 0.000
0.250 0.250 0.250
0.750 0.750 0.750
0.500 0.500 0.500
```

Properties
VASP energy (eV/atom): -7.374

13.
# Ca5Zr4

A relaxed structure of Ca5Zr4 (GGA-PBE, Alexandria).

Structure (POSCAR):
```
Ca5Zr4
1.0
-2.357 -8.696 -3.935
8.505 1.075 4.813
-2.931 -1.723 5.564
Ca Zr
10 8
direct
0.667 0.333 0.000
0.374 0.000 0.750
0.374 0.374 0.250
0.626 0.626 0.750
0.333 0.667 0.500
0.000 0.626 0.250
0.626 0.000 0.250
0.333 0.667 0.000
0.000 0.374 0.750
0.667 0.333 0.500
0.000 0.748 0.750
0.748 0.000 0.750
0.252 0.252 0.750
0.000 0.252 0.250
0.252 0.000 0.250
0.000 0.000 0.000
0.748 0.748 0.250
0.000 0.000 0.500
```

Properties
VASP energy (eV/atom): -4.484

14.
# CeMgCo

A relaxed structure of CeMgCo (GGA-PBE, Alexandria).

Structure (POSCAR):
```
CeMgCo
1.0
5.776 0.000 0.000
0.000 3.649 0.000
0.000 -1.824 3.160
Co Ce Mg
1 1 1
direct
0.013 0.000 0.000
0.250 0.333 0.667
0.736 0.667 0.333
```

Properties
VASP energy (eV/atom): -4.801